Record 1
Entry from Alexandria via LeMat-Bulk: a relaxed Sc2CrCoRe crystal (PBE-GGA).

As for the formation energy: 1.0434 eV/atom.

Unit cell a=4.7294 b=4.3373 c=4.7294 alpha=90.00 beta=90.00 gamma=90.00
Sites, in units of the cell vectors:
Re: 0.0000 0.5000 0.0000
Co: 0.5000 0.5000 0.5000
Cr: 0.0000 0.0000 0.0000
Sc: 0.5000 0.0000 0.0000
Sc: 0.0000 0.0000 0.5000

Record 2
Entry from Alexandria via LeMat-Bulk: a relaxed CrCoReTc crystal (PBE-GGA).

As for the formation energy: 0.1557 eV/atom.

Unit cell a=4.2429 b=4.2429 c=4.2429 alpha=60.00 beta=60.00 gamma=60.00
Site moments in Bohr magnetons follow the coordinates.
Sites, in units of the cell vectors:
Co: 0.5000 0.5000 0.5000  1.66
Cr: 0.7500 0.7500 0.7500  1.91
Tc: 0.2500 0.2500 0.2500  0.60
Re: 0.0000 0.0000 0.0000  -0.29

Record 3
Entry from Alexandria via LeMat-Bulk: a relaxed CrCoRe2Te crystal (PBE-GGA).

The value obtained for the formation energy without anion corrections is 1.469 eV/atom.

Unit cell a=4.5292 b=4.5292 c=4.2260 alpha=90.00 beta=90.00 gamma=90.00
Sites, in units of the cell vectors:
Cr: 0.0000 0.0000 0.5000
Co: 0.0000 0.0000 0.0000
Te: 0.5000 0.5000 0.5000
Re: 0.0000 0.5000 0.0000
Re: 0.5000 0.0000 0.0000

Record 4
Entry from Alexandria via LeMat-Bulk: a relaxed TiCrCoRe crystal (PBE-GGA).

As for the formation energy: -0.1627 eV/atom.

Unit cell a=4.2289 b=4.2289 c=4.2289 alpha=60.00 beta=60.00 gamma=60.00
Site moments in Bohr magnetons follow the coordinates.
Sites, in units of the cell vectors:
Ti: 0.2500 0.2500 0.2500  -0.18
Re: 0.0000 0.0000 0.0000  -0.31
Co: 0.5000 0.5000 0.5000  1.10
Cr: 0.7500 0.7500 0.7500  1.44

Record 5
Entry from Alexandria via LeMat-Bulk: a relaxed VCrCoRe crystal (PBE-GGA).

As for the formation energy: -0.0507 eV/atom.

Unit cell a=4.1752 b=4.1752 c=4.1752 alpha=60.00 beta=60.00 gamma=60.00
Site moments in Bohr magnetons follow the coordinates.
Sites, in units of the cell vectors:
Re: 0.0000 0.0000 0.0000  -0.25
V: 0.7500 0.7500 0.7500  0.28
Co: 0.5000 0.5000 0.5000  1.19
Cr: 0.2500 0.2500 0.2500  1.43

Record 6
Entry from Alexandria via LeMat-Bulk: a relaxed YCrCoRe2 crystal (PBE-GGA).

As for the formation energy: 3.0204 eV/atom.

Unit cell a=4.8120 b=4.3953 c=4.8120 alpha=90.00 beta=90.00 gamma=90.00
Site moments in Bohr magnetons follow the coordinates.
Sites, in units of the cell vectors:
Cr: 0.5000 0.5000 0.5000  0.17
Co: 0.0000 0.5000 0.0000  1.27
Re: 0.5000 0.0000 0.0000  0.15
Re: 0.0000 0.0000 0.5000  0.17
Y: 0.0000 0.0000 0.0000  -0.04

Record 7
Entry from Alexandria via LeMat-Bulk: a relaxed Y2CrCoRe crystal (PBE-GGA).

As for the formation energy: 0.8778 eV/atom.

Unit cell a=5.4084 b=4.3786 c=5.4084 alpha=90.00 beta=90.00 gamma=90.00
Site moments in Bohr magnetons follow the coordinates.
Sites, in units of the cell vectors:
Y: 0.0000 0.0000 0.5000  0.00
Y: 0.5000 0.0000 0.0000  0.04
Cr: 0.5000 0.5000 0.5000  -4.01
Co: 0.0000 0.5000 0.0000  0.06
Re: 0.0000 0.0000 0.0000  -0.02

Record 8
Entry from Alexandria via LeMat-Bulk: a relaxed Cr2CoRh crystal (PBE-GGA).

As for the formation energy: 0.0724 eV/atom. The calculation puts the energy relative to the lowest polymorph listed for this composition at 0.282 eV per formula unit.

Unit cell a=2.6202 b=3.4459 c=5.3414 alpha=90.00 beta=90.00 gamma=90.00
Sites, in units of the cell vectors:
Co: 0.5000 0.5000 0.7806
Rh: 0.0000 0.0000 0.4978
Cr: 0.0000 0.0000 0.9786
Cr: 0.5000 0.5000 0.2430

Record 9
Entry from Alexandria via LeMat-Bulk: a relaxed Cr2CoRh9 crystal (PBE-GGA).

As for the formation energy: -0.0614 eV/atom.

Unit cell a=3.7891 b=3.7891 c=11.3943 alpha=90.00 beta=90.00 gamma=90.00
Site moments in Bohr magnetons follow the coordinates.
Sites, in units of the cell vectors:
Rh: 0.5000 0.0000 0.5000  -0.19
Rh: 0.0000 0.5000 0.8328  -0.01
Rh: 0.5000 0.5000 0.3340  -0.17
Rh: 0.5000 0.5000 0.0000  0.11
Rh: 0.5000 0.0000 0.1672  -0.01
Rh: 0.0000 0.5000 0.1672  -0.01
Rh: 0.0000 0.5000 0.5000  -0.19
Rh: 0.5000 0.5000 0.6660  -0.17
Rh: 0.5000 0.0000 0.8328  -0.01
Co: 0.0000 0.0000 0.0000  1.69
Cr: 0.0000 0.0000 0.3310  1.75
Cr: 0.0000 0.0000 0.6690  1.75

Record 10
Entry from Alexandria via LeMat-Bulk: a relaxed Cr2Co2Rh crystal (PBE-GGA).

As for the formation energy: 0.0702 eV/atom. The calculation puts the energy relative to the lowest polymorph listed for this composition at 0.000 eV per formula unit.

Unit cell a=6.6999 b=6.6999 c=2.6105 alpha=90.00 beta=90.00 gamma=90.00
Sites, in units of the cell vectors:
Rh: 0.5000 0.5000 0.0000
Rh: 0.0000 0.0000 0.0000
Co: 0.6248 0.1248 0.0000
Co: 0.1248 0.3752 0.0000
Co: 0.8752 0.6248 0.0000
Co: 0.3752 0.8752 0.0000
Cr: 0.1726 0.6726 0.5000
Cr: 0.8274 0.3274 0.5000
Cr: 0.3274 0.1726 0.5000
Cr: 0.6726 0.8274 0.5000

Record 11
Entry from Alexandria via LeMat-Bulk: a relaxed Cr2CoRh crystal (PBE-GGA).

As for the formation energy: 0.1007 eV/atom. The calculation puts the energy relative to the lowest polymorph listed for this composition at 0.395 eV per formula unit.

Unit cell a=4.4674 b=4.4674 c=4.3873 alpha=80.06 beta=80.06 gamma=33.92
Site moments in Bohr magnetons follow the coordinates.
Sites, in units of the cell vectors:
Rh: 0.7500 0.7500 0.7500  0.01
Cr: 0.9964 0.9964 0.0162  -0.01
Cr: 0.5036 0.5036 0.4838  -0.01
Co: 0.2500 0.2500 0.2500  0.09

Record 12
Entry from Alexandria via LeMat-Bulk: a relaxed Cr2CoRh crystal (PBE-GGA).

As for the formation energy: 0.5320 eV/atom. The calculation puts the energy relative to the lowest polymorph listed for this composition at 2.121 eV per formula unit.

Unit cell a=3.5464 b=3.5464 c=8.6613 alpha=78.19 beta=78.19 gamma=90.00
Sites, in units of the cell vectors:
Co: 0.2500 0.7500 0.5000
Co: 0.5000 0.5000 0.0000
Cr: 0.1666 0.6250 0.2500
Cr: 0.5834 0.1250 0.2500
Cr: 0.3750 0.4166 0.7500
Cr: 0.8750 0.8334 0.7500
Rh: 0.7500 0.2500 0.5000
Rh: 0.0000 0.0000 0.0000